Entry 1:
Entry from the Alexandria database: crystalline KPmSiO4 at its relaxed geometry (PBE).

The value obtained for the total magnetization is 0.00 μB/f.u. Its space-group type is P2_1/m (11). Its energy relative to the elements, uncorrected is -2857 meV/atom. The calculated volume is 16.67 Å³/atom. The total energy is -7.300 eV/atom.

The structure in CIF format:
```
data_KPmSiO4
_chemical_formula_sum 'K2 Pm2 Si2 O8'
_cell_length_a 5.761
_cell_length_b 5.671
_cell_length_c 7.379
_cell_angle_alpha 90.00
_cell_angle_beta 104.54
_cell_angle_gamma 90.00
_symmetry_space_group_name_H-M 'P 1'
_symmetry_Int_Tables_number 1
loop_
_symmetry_equiv_pos_as_xyz
'x,y,z'
loop_
_atom_site_label
_atom_site_type_symbol
_atom_site_fract_x
_atom_site_fract_y
_atom_site_fract_z
K1 K 0.685 0.750 0.920
K2 K 0.315 0.250 0.080
Pm1 Pm 0.779 0.750 0.449
Pm2 Pm 0.221 0.250 0.551
Si1 Si 0.246 0.750 0.331
Si2 Si 0.754 0.250 0.669
O1 O 0.939 0.478 0.689
O2 O 0.061 0.978 0.311
O3 O 0.061 0.522 0.311
O4 O 0.939 0.022 0.689
O5 O 0.430 0.750 0.194
O6 O 0.570 0.250 0.806
O7 O 0.415 0.750 0.549
O8 O 0.585 0.250 0.451
```

Entry 2:
Entry from the Alexandria database: crystalline K2PmSi2O6 at its relaxed geometry (PBE).

The value obtained for the total magnetization is 1.00 μB/f.u. Its space-group type is R-3m (166). Its energy relative to the elements, uncorrected is -2524 meV/atom. The calculated volume is 16.87 Å³/atom. The total energy is -6.846 eV/atom.

The structure in CIF format:
```
data_K2PmSi2O6
_chemical_formula_sum 'K2 Pm1 Si2 O6'
_cell_length_a 5.935
_cell_length_b 5.935
_cell_length_c 6.982
_cell_angle_alpha 64.85
_cell_angle_beta 64.85
_cell_angle_gamma 60.00
_symmetry_space_group_name_H-M 'P 1'
_symmetry_Int_Tables_number 1
loop_
_symmetry_equiv_pos_as_xyz
'x,y,z'
loop_
_atom_site_label
_atom_site_type_symbol
_atom_site_fract_x
_atom_site_fract_y
_atom_site_fract_z
K1 K 0.789 0.789 0.633
K2 K 0.211 0.211 0.367
Pm1 Pm 0.000 0.000 0.000
Si1 Si 0.430 0.430 0.711
Si2 Si 0.570 0.570 0.289
O1 O 0.742 0.742 0.238
O2 O 0.279 0.742 0.238
O3 O 0.742 0.279 0.238
O4 O 0.258 0.721 0.762
O5 O 0.721 0.258 0.762
O6 O 0.258 0.258 0.762
```

Entry 3:
Entry from the Alexandria database: crystalline K3Pm3SiO8 at its relaxed geometry (PBE).

The value obtained for the total magnetization is 0.00 μB/f.u. Its space-group type is R-3m (166). Its energy relative to the elements, uncorrected is -2513 meV/atom. The calculated volume is 17.05 Å³/atom. The total energy is -6.689 eV/atom.

The structure in CIF format:
```
data_K3Pm3SiO8
_chemical_formula_sum 'K3 Pm3 Si1 O8'
_cell_length_a 6.844
_cell_length_b 6.845
_cell_length_c 7.441
_cell_angle_alpha 117.39
_cell_angle_beta 90.00
_cell_angle_gamma 120.00
_symmetry_space_group_name_H-M 'P 1'
_symmetry_Int_Tables_number 1
loop_
_symmetry_equiv_pos_as_xyz
'x,y,z'
loop_
_atom_site_label
_atom_site_type_symbol
_atom_site_fract_x
_atom_site_fract_y
_atom_site_fract_z
K1 K 0.000 0.000 0.000
K2 K 0.000 0.500 0.000
K3 K 0.500 0.500 0.000
Pm1 Pm 0.500 0.000 0.500
Pm2 Pm 0.500 0.500 0.500
Pm3 Pm 0.000 0.500 0.500
Si1 Si 0.000 0.000 0.500
O1 O 0.270 0.539 0.309
O2 O 0.730 0.461 0.691
O3 O 0.809 0.618 0.336
O4 O 0.191 0.382 0.664
O5 O 0.809 0.027 0.336
O6 O 0.191 0.973 0.664
O7 O 0.218 0.027 0.336
O8 O 0.782 0.973 0.664
```

Entry 4:
Entry from the Alexandria database: crystalline K3Pm2SmO6 at its relaxed geometry (PBE).

The value obtained for the total magnetization is 0.00 μB/f.u. Its space-group type is C2/m (12). Its energy relative to the elements, uncorrected is -2652 meV/atom. The calculated volume is 17.70 Å³/atom. The total energy is -6.591 eV/atom.

The structure in CIF format:
```
data_K3Pm2SmO6
_chemical_formula_sum 'K3 Pm2 Sm1 O6'
_cell_length_a 6.241
_cell_length_b 6.241
_cell_length_c 6.633
_cell_angle_alpha 99.03
_cell_angle_beta 99.03
_cell_angle_gamma 120.00
_symmetry_space_group_name_H-M 'P 1'
_symmetry_Int_Tables_number 1
loop_
_symmetry_equiv_pos_as_xyz
'x,y,z'
loop_
_atom_site_label
_atom_site_type_symbol
_atom_site_fract_x
_atom_site_fract_y
_atom_site_fract_z
K1 K 0.166 0.834 0.500
K2 K 0.834 0.166 0.500
K3 K 0.500 0.500 0.500
Pm1 Pm 0.333 0.667 0.000
Pm2 Pm 0.667 0.333 0.000
Sm1 Sm 0.000 0.000 0.000
O1 O 0.937 0.605 0.810
O2 O 0.731 0.731 0.190
O3 O 0.063 0.395 0.190
O4 O 0.605 0.937 0.810
O5 O 0.269 0.269 0.810
O6 O 0.395 0.063 0.190
```

Entry 5:
Entry from the Alexandria database: crystalline K3Pm3SnO8 at its relaxed geometry (PBE).

The value obtained for the total magnetization is 0.00 μB/f.u. Its space-group type is R-3m (166). Its energy relative to the elements, uncorrected is -2447 meV/atom. The calculated volume is 18.20 Å³/atom. The total energy is -6.528 eV/atom.

The structure in CIF format:
```
data_K3Pm3SnO8
_chemical_formula_sum 'K3 Pm3 Sn1 O8'
_cell_length_a 7.051
_cell_length_b 7.052
_cell_length_c 7.534
_cell_angle_alpha 117.92
_cell_angle_beta 90.00
_cell_angle_gamma 120.00
_symmetry_space_group_name_H-M 'P 1'
_symmetry_Int_Tables_number 1
loop_
_symmetry_equiv_pos_as_xyz
'x,y,z'
loop_
_atom_site_label
_atom_site_type_symbol
_atom_site_fract_x
_atom_site_fract_y
_atom_site_fract_z
K1 K 0.000 0.000 0.000
K2 K 0.000 0.500 0.000
K3 K 0.500 0.500 0.000
Pm1 Pm 0.500 0.000 0.500
Pm2 Pm 0.500 0.500 0.500
Pm3 Pm 0.000 0.500 0.500
Sn1 Sn 0.000 0.000 0.500
O1 O 0.272 0.544 0.316
O2 O 0.728 0.456 0.684
O3 O 0.789 0.579 0.323
O4 O 0.211 0.421 0.677
O5 O 0.789 0.033 0.323
O6 O 0.211 0.967 0.677
O7 O 0.244 0.033 0.323
O8 O 0.756 0.967 0.677
```

Entry 6:
Entry from the Alexandria database: crystalline K2Pm2SnO6 at its relaxed geometry (PBE).

The value obtained for the total magnetization is 0.00 μB/f.u. Its space-group type is C2/m (12). Its energy relative to the elements, uncorrected is -2361 meV/atom. The calculated volume is 18.38 Å³/atom. The total energy is -6.492 eV/atom.

The structure in CIF format:
```
data_K2Pm2SnO6
_chemical_formula_sum 'K2 Pm2 Sn1 O6'
_cell_length_a 6.019
_cell_length_b 6.019
_cell_length_c 6.666
_cell_angle_alpha 97.85
_cell_angle_beta 97.85
_cell_angle_gamma 119.56
_symmetry_space_group_name_H-M 'P 1'
_symmetry_Int_Tables_number 1
loop_
_symmetry_equiv_pos_as_xyz
'x,y,z'
loop_
_atom_site_label
_atom_site_type_symbol
_atom_site_fract_x
_atom_site_fract_y
_atom_site_fract_z
K1 K 0.840 0.160 0.000
K2 K 0.160 0.840 0.000
Pm1 Pm 0.335 0.665 0.500
Pm2 Pm 0.665 0.335 0.500
Sn1 Sn 0.000 0.000 0.500
O1 O 0.758 0.758 0.676
O2 O 0.046 0.359 0.674
O3 O 0.242 0.242 0.324
O4 O 0.359 0.046 0.674
O5 O 0.954 0.641 0.326
O6 O 0.641 0.954 0.326
```

Entry 7:
Entry from the Alexandria database: crystalline KPm2SnO5 at its relaxed geometry (PBE).

The value obtained for the total magnetization is 0.84 μB/f.u. Its space-group type is I4/mcm (140). Its energy relative to the elements, uncorrected is -2337 meV/atom. The calculated volume is 16.16 Å³/atom. The total energy is -6.714 eV/atom.

The structure in CIF format:
```
data_KPm2SnO5
_chemical_formula_sum 'K2 Pm4 Sn2 O10'
_cell_length_a 6.861
_cell_length_b 6.861
_cell_length_c 7.857
_cell_angle_alpha 115.89
_cell_angle_beta 115.89
_cell_angle_gamma 90.00
_symmetry_space_group_name_H-M 'P 1'
_symmetry_Int_Tables_number 1
loop_
_symmetry_equiv_pos_as_xyz
'x,y,z'
loop_
_atom_site_label
_atom_site_type_symbol
_atom_site_fract_x
_atom_site_fract_y
_atom_site_fract_z
K1 K 0.250 0.250 0.500
K2 K 0.750 0.750 0.500
Pm1 Pm 0.179 0.321 0.000
Pm2 Pm 0.679 0.179 0.000
Pm3 Pm 0.321 0.821 0.000
Pm4 Pm 0.821 0.679 0.000
Sn1 Sn 0.250 0.750 0.500
Sn2 Sn 0.750 0.250 0.500
O1 O 0.980 0.480 0.242
O2 O 0.737 0.237 0.758
O3 O 0.020 0.520 0.758
O4 O 0.237 0.020 0.758
O5 O 0.520 0.737 0.758
O6 O 0.763 0.980 0.242
O7 O 0.480 0.263 0.242
O8 O 0.263 0.763 0.242
O9 O 0.500 0.500 0.000
O10 O 0.000 0.000 0.000
```

Entry 8:
Entry from the Alexandria database: crystalline K4PmTa3O12 at its relaxed geometry (PBE).

The value obtained for the total magnetization is 2.07 μB/f.u. Its space-group type is Im-3m (229). Its energy relative to the elements, uncorrected is -2441 meV/atom. The calculated volume is 14.66 Å³/atom. The total energy is -7.650 eV/atom.

The structure in CIF format:
```
data_K4PmTa3O12
_chemical_formula_sum 'K4 Pm1 Ta3 O12'
_cell_length_a 7.248
_cell_length_b 7.248
_cell_length_c 7.248
_cell_angle_alpha 109.47
_cell_angle_beta 109.47
_cell_angle_gamma 109.47
_symmetry_space_group_name_H-M 'P 1'
_symmetry_Int_Tables_number 1
loop_
_symmetry_equiv_pos_as_xyz
'x,y,z'
loop_
_atom_site_label
_atom_site_type_symbol
_atom_site_fract_x
_atom_site_fract_y
_atom_site_fract_z
K1 K 0.500 0.500 0.500
K2 K 0.000 0.000 0.500
K3 K 0.500 0.000 0.000
K4 K 0.000 0.500 0.000
Pm1 Pm 0.000 0.000 0.000
Ta1 Ta 0.500 0.000 0.500
Ta2 Ta 0.500 0.500 0.000
Ta3 Ta 0.000 0.500 0.500
O1 O 0.250 0.500 0.750
O2 O 0.729 0.000 0.729
O3 O 0.271 0.000 0.271
O4 O 0.750 0.500 0.250
O5 O 0.729 0.729 0.000
O6 O 0.271 0.271 0.000
O7 O 0.750 0.250 0.500
O8 O 0.250 0.750 0.500
O9 O 0.500 0.250 0.750
O10 O 0.000 0.729 0.729
O11 O 0.500 0.750 0.250
O12 O 0.000 0.271 0.271
```

- Which formula does entry 7 have?
  KPm2SnO5

- Look up the total magnetization of the sixth one.
  0.00 μB/f.u.

- What is the calculated volume in the eighth record?
  14.66 Å³/atom